The following is a PBE+U calculation of a relaxed structure of MnTc3F, from the Alexandria database.

As for the symmetry: Pm-3m, No. 221. As for the total magnetization: 1.6 μB per cell. The offset from the most stable computed form is 0.000 eV/atom. The density of states at the Fermi level comes out at 3.6 states/eV/cell.

```
MnTc3F
1.0
4.199 0.000 0.000
0.000 4.199 0.000
0.000 0.000 4.199
Mn Tc F
1 3 1
Direct
0.500 0.500 0.500 Mn
0.000 0.500 0.000 Tc
0.000 0.000 0.500 Tc
0.500 0.000 0.000 Tc
0.000 0.000 0.000 F
```